(1)
Below is a geometry-optimized K2MgPdPt structure, with properties calculated at the PBEsol level.

## Properties
mass density: 3.956 Mg/m³
DFT formation energy: 867 meV/atom
V: 33.91 Å³/atom
energy: -12.6 eV for the cell shown

a = 6.0394 Å, b = 6.0394 Å, c = 4.6491 Å
α = 90.00°, β = 90.00°, γ = 90.00°
With the nearest neighbours (Å) after each atom.
Space group P4/mmm (No. 123)
Inequivalent atoms, fractional coordinates:
K: 0.0000 0.5000 0.0000  2 Mg 3.02
Mg: 0.0000 0.0000 0.0000  2 Pd 2.32
Pd: 0.0000 0.0000 0.5000  2 Mg 2.32
Pt: 0.5000 0.5000 0.5000  8 K 3.81


(2)
Below is a geometry-optimized KMg2ZrPd structure, with properties calculated at the PBEsol level.

## Properties
mass density: 3.553 Mg/m³
DFT formation energy: 707 meV/atom
V: 26.68 Å³/atom
energy: -16.1 eV for the cell shown

a = 4.9944 Å, b = 4.9944 Å, c = 5.3472 Å
α = 90.00°, β = 90.00°, γ = 90.00°
With the nearest neighbours (Å) after each atom.
Space group P4/mmm (No. 123)
Inequivalent atoms, fractional coordinates:
K: 0.0000 0.0000 0.0000  2 Pd 2.67
Mg: 0.0000 0.5000 0.5000  2 Pd 2.50
Zr: 0.5000 0.5000 0.0000  4 K 3.53, 8 Mg 3.66
Pd: 0.0000 0.0000 0.5000  4 Mg 2.50, 2 K 2.67


(3)
Below is a geometry-optimized KMgPt structure, with properties calculated at the PBEsol level.

## Properties
mass density: 6.393 Mg/m³
DFT formation energy: 124 meV/atom
V: 22.38 Å³/atom
energy: -9.4 eV for the cell shown

a = 3.1488 Å, b = 3.1488 Å, c = 7.8187 Å
α = 90.00°, β = 90.00°, γ = 120.00°
With the nearest neighbours (Å) after each atom.
Space group P3m1 (No. 156)
Inequivalent atoms, fractional coordinates:
K: 0.0000 0.0000 0.0000  3 Pt 3.13, 6 K 3.15
Mg: 0.3333 0.6667 0.5721  3 Pt 2.65
Pt: 0.6667 0.3333 0.3261  3 Mg 2.65


(4)
Below is a geometry-optimized K2MgPt structure, with properties calculated at the PBEsol level.

## Properties
mass density: 4.340 Mg/m³
DFT formation energy: 291 meV/atom
V: 28.47 Å³/atom
energy: -9.8 eV for the cell shown

a = 4.4341 Å, b = 4.4341 Å, c = 5.7919 Å
α = 90.00°, β = 90.00°, γ = 90.00°
With the nearest neighbours (Å) after each atom.
Space group P4/mmm (No. 123)
Inequivalent atoms, fractional coordinates:
K: 0.0000 0.0000 0.2335  1 K 2.70
Mg: 0.5000 0.5000 0.5000  2 Pt 2.90
Pt: 0.5000 0.5000 0.0000  2 Mg 2.90


(5)
Below is a geometry-optimized KMgPt2 structure, with properties calculated at the PBEsol level.

## Properties
mass density: 10.170 Mg/m³
DFT formation energy: 148 meV/atom
V: 18.51 Å³/atom
energy: -64.7 eV for the cell shown

a = 6.6662 Å, b = 6.6662 Å, c = 6.6662 Å
α = 90.00°, β = 90.00°, γ = 90.00°
With the nearest neighbours (Å) after each atom.
Space group F-43m (No. 216)
Inequivalent atoms, fractional coordinates:
K: 0.0000 0.0000 0.0000  4 Mg 2.89, 4 Pt 2.89
Mg: 0.2500 0.2500 0.7500  4 K 2.89, 4 Pt 2.89
Pt: 0.0000 0.0000 0.5000  4 Mg 2.89, 4 Pt 2.89
Pt: 0.2500 0.2500 0.2500  4 K 2.89, 4 Pt 2.89


(6)
Below is a geometry-optimized KMgPt2 structure, with properties calculated at the PBEsol level.

## Properties
mass density: 9.129 Mg/m³
DFT formation energy: 18 meV/atom
V: 20.63 Å³/atom
energy: -16.7 eV for the cell shown

a = 2.9374 Å, b = 2.9374 Å, c = 9.5622 Å
α = 90.00°, β = 90.00°, γ = 90.00°
With the nearest neighbours (Å) after each atom.
Space group P4mm (No. 99)
Inequivalent atoms, fractional coordinates:
K: 0.0000 0.0000 0.0000  4 K 2.94, 4 Pt 3.19
Mg: 0.5000 0.5000 0.3767  4 Pt 2.67, 4 Mg 2.94
Pt: 0.0000 0.0000 0.5522  4 Mg 2.67, 8 Pt 2.79-2.94
Pt: 0.5000 0.5000 0.7466  8 Pt 2.79-2.94


(7)
Below is a geometry-optimized KMgPt2W structure, with properties calculated at the PBEsol level.

## Properties
mass density: 9.733 Mg/m³
DFT formation energy: 2536 meV/atom
V: 21.75 Å³/atom
energy: -17.9 eV for the cell shown

a = 4.8845 Å, b = 4.8845 Å, c = 4.5583 Å
α = 90.00°, β = 90.00°, γ = 90.00°
With the nearest neighbours (Å) after each atom.
Space group P4/mmm (No. 123)
Inequivalent atoms, fractional coordinates:
K: 0.0000 0.0000 0.0000  2 W 2.28, 4 Pt 2.44
Mg: 0.5000 0.5000 0.5000  8 Pt 3.34, 4 W 3.45
Pt: 0.0000 0.5000 0.0000  2 K 2.44
W: 0.0000 0.0000 0.5000  2 K 2.28


(8)
Below is a geometry-optimized KRb2MgTc structure, with properties calculated at the PBEsol level.

## Properties
mass density: 2.168 Mg/m³
DFT formation energy: 1104 meV/atom
V: 50.90 Å³/atom
energy: -10.6 eV for the cell shown

a = 6.9899 Å, b = 6.9899 Å, c = 5.2090 Å
α = 90.00°, β = 90.00°, γ = 90.00°
With the nearest neighbours (Å) after each atom.
Space group P4/mmm (No. 123)
Inequivalent atoms, fractional coordinates:
K: 0.0000 0.0000 0.0000  8 Rb 4.36
Rb: 0.0000 0.5000 0.5000  2 Mg 3.49
Mg: 0.5000 0.5000 0.5000  2 Tc 2.60
Tc: 0.5000 0.5000 0.0000  2 Mg 2.60


(9)
Below is a geometry-optimized K2MgRe structure, with properties calculated at the PBEsol level.

## Properties
mass density: 3.561 Mg/m³
excess energy over the best structure of this formula in the dataset: 0 meV/atom
DFT formation energy: 1005 meV/atom
V: 33.66 Å³/atom
energy: -26.6 eV for the cell shown

a = 2.7580 Å, b = 4.8437 Å, c = 20.1582 Å
α = 90.00°, β = 90.00°, γ = 90.00°
With the nearest neighbours (Å) after each atom.
Space group Immm (No. 71)
Inequivalent atoms, fractional coordinates:
K: 0.0000 0.0000 0.1486  2 K 2.76
Mg: 0.0000 0.5000 0.0000  2 Mg 2.76, 4 Re 2.79
Re: 0.0000 0.5000 0.5000  2 Re 2.76, 4 Mg 2.79


(10)
Below is a geometry-optimized KMgRe2 structure, with properties calculated at the PBEsol level.

## Properties
mass density: 10.182 Mg/m³
excess energy over the best structure of this formula in the dataset: 516 meV/atom
DFT formation energy: 1246 meV/atom
V: 17.77 Å³/atom
energy: -24.5 eV for the cell shown

a = 2.8057 Å, b = 4.7542 Å, c = 5.3288 Å
α = 90.00°, β = 90.00°, γ = 90.00°
With the nearest neighbours (Å) after each atom.
Space group Pmmm (No. 47)
Inequivalent atoms, fractional coordinates:
K: 0.0000 0.0000 0.0000  4 Mg 2.76, 2 K 2.81, 4 Re 3.01
Mg: 0.5000 0.5000 0.0000  4 K 2.76, 2 Mg 2.81, 4 Re 3.01
Re: 0.0000 0.5000 0.5000  6 Re 2.76-2.81, 4 Mg 3.01
Re: 0.5000 0.0000 0.5000  6 Re 2.76-2.81, 4 K 3.01


(11)
Below is a geometry-optimized K2MgRe2 structure, with properties calculated at the PBEsol level.

## Properties
mass density: 6.467 Mg/m³
DFT formation energy: 1739 meV/atom
V: 24.39 Å³/atom
energy: -43.9 eV for the cell shown

a = 3.9898 Å, b = 3.9898 Å, c = 15.3201 Å
α = 90.00°, β = 90.00°, γ = 90.00°
With the nearest neighbours (Å) after each atom.
Space group I4/mmm (No. 139)
Inequivalent atoms, fractional coordinates:
K: 0.0000 0.5000 0.2500  4 K 2.82
Mg: 0.0000 0.0000 0.0000  8 Re 3.02
Re: 0.0000 0.0000 0.4292  1 Re 2.17


(12)
Below is a geometry-optimized KMgRe2 structure, with properties calculated at the PBEsol level.

## Properties
mass density: 10.467 Mg/m³
excess energy over the best structure of this formula in the dataset: 581 meV/atom
DFT formation energy: 1312 meV/atom
V: 17.28 Å³/atom
energy: -97.1 eV for the cell shown

a = 6.5152 Å, b = 6.5152 Å, c = 6.5152 Å
α = 90.00°, β = 90.00°, γ = 90.00°
With the nearest neighbours (Å) after each atom.
Space group F-43m (No. 216)
Inequivalent atoms, fractional coordinates:
K: 0.0000 0.0000 0.0000  4 Re 2.82, 4 Mg 2.82
Mg: 0.2500 0.2500 0.7500  4 K 2.82, 4 Re 2.82
Re: 0.0000 0.0000 0.5000  4 Mg 2.82, 4 Re 2.82
Re: 0.2500 0.2500 0.2500  4 K 2.82, 4 Re 2.82


(13)
Below is a geometry-optimized KMgRe2 structure, with properties calculated at the PBEsol level.

## Properties
mass density: 9.630 Mg/m³
excess energy over the best structure of this formula in the dataset: 0 meV/atom
DFT formation energy: 730 meV/atom
V: 18.79 Å³/atom
energy: -53.2 eV for the cell shown

a = 3.0275 Å, b = 4.6408 Å, c = 10.6972 Å
α = 90.00°, β = 90.00°, γ = 90.00°
With the nearest neighbours (Å) after each atom.
Space group Cmm2 (No. 35)
Inequivalent atoms, fractional coordinates:
K: 0.0000 0.0000 0.0000  6 K 2.77-3.03
Mg: 0.0000 0.5000 0.3124  6 Mg 2.77-3.03, 2 Re 2.82
Re: 0.0000 0.0000 0.5343  6 Re 2.58-2.77, 2 Mg 2.82
Re: 0.0000 0.5000 0.7294  6 Re 2.58-2.77


(14)
Below is a geometry-optimized KMg2Re structure, with properties calculated at the PBEsol level.

## Properties
mass density: 5.444 Mg/m³
excess energy over the best structure of this formula in the dataset: 0 meV/atom
DFT formation energy: 611 meV/atom
V: 20.89 Å³/atom
energy: -30.9 eV for the cell shown

a = 3.3780 Å, b = 4.5421 Å, c = 10.8902 Å
α = 90.00°, β = 90.00°, γ = 90.00°
With the nearest neighbours (Å) after each atom.
Space group Cmmm (No. 65)
Inequivalent atoms, fractional coordinates:
K: 0.0000 0.0000 0.0000  4 K 2.83
Mg: 0.0000 0.5000 0.2991  2 Re 2.76, 4 Mg 2.83
Re: 0.0000 0.0000 0.5000  4 Mg 2.76, 4 Re 2.83


(15)
Below is a geometry-optimized KMg2Re structure, with properties calculated at the PBEsol level.

## Properties
mass density: 5.437 Mg/m³
excess energy over the best structure of this formula in the dataset: 638 meV/atom
DFT formation energy: 1248 meV/atom
V: 20.92 Å³/atom
energy: -25.8 eV for the cell shown

a = 4.2329 Å, b = 4.2329 Å, c = 9.3387 Å
α = 90.00°, β = 90.00°, γ = 90.00°
With the nearest neighbours (Å) after each atom.
Space group I-4m2 (No. 119)
Inequivalent atoms, fractional coordinates:
K: 0.0000 0.0000 0.0000  8 Mg 2.99-3.15, 4 Re 3.15
Mg: 0.0000 0.0000 0.5000  4 K 2.99, 4 Re 3.15, 4 Mg 3.15
Mg: 0.0000 0.5000 0.2500  4 Re 2.99, 4 K 3.15, 4 Mg 3.15
Re: 0.0000 0.5000 0.7500  8 Mg 2.99-3.15, 4 K 3.15